No. 1
# Mn6OF11 | the Alexandria database | meta-GGA SCAN | single point on PBEsol structure
# E_form (uncorrected)   -2.793 eV/atom
# Total moment   29.0 μB per formula unit
# Calculated volume   12.29 Å³ per atom
data_Mn6OF11
_chemical_formula_sum 'Mn12 O2 F22'
_space_group_name_H-M_alt 'P 1 21 1'
_space_group_IT_number 4
_cell_length_a 4.855
_cell_length_b 15.861
_cell_length_c 5.747
_cell_angle_alpha 90.00
_cell_angle_beta 91.07
_cell_angle_gamma 90.00
loop_
_space_group_symop_operation_xyz
'x,y,z'
'-x,y+1/2,-z'
loop_
_atom_site_label
_atom_site_type_symbol
_atom_site_fract_x
_atom_site_fract_y
_atom_site_fract_z
Mn1 Mn 0.224 0.000 0.056
Mn2 Mn 0.232 0.161 0.418
Mn3 Mn 0.233 0.654 0.085
Mn4 Mn 0.248 0.496 0.406
Mn5 Mn 0.258 0.831 0.416
Mn6 Mn 0.260 0.326 0.077
O1 O 0.045 0.545 0.165
F1 F 0.002 0.551 0.659
F2 F 0.006 0.221 0.147
F3 F 0.020 0.722 0.354
F4 F 0.027 0.885 0.135
F5 F 0.040 0.385 0.373
F6 F 0.452 0.107 0.125
F7 F 0.475 0.765 0.145
F8 F 0.479 0.269 0.360
F9 F 0.488 0.600 0.377
F10 F 0.488 0.945 0.355
F11 F 0.497 0.933 0.848



No. 2
# Mn4O7F | the Alexandria database | meta-GGA SCAN | single point on PBEsol structure
# E_form (uncorrected)   -2.182 eV/atom
# Total moment   2.0 μB per formula unit
# Calculated volume   9.13 Å³ per atom
data_Mn4O7F
_chemical_formula_sum 'Mn16 O28 F4'
_space_group_name_H-M_alt 'C 1 2 1'
_space_group_IT_number 5
_cell_length_a 9.613
_cell_length_b 10.642
_cell_length_c 4.286
_cell_angle_alpha 90.00
_cell_angle_beta 90.63
_cell_angle_gamma 90.00
loop_
_space_group_symop_operation_xyz
'x,y,z'
'-x,y,-z'
'x+1/2,y+1/2,z'
'-x+1/2,y+1/2,-z'
loop_
_atom_site_label
_atom_site_type_symbol
_atom_site_fract_x
_atom_site_fract_y
_atom_site_fract_z
Mn1 Mn 0.000 0.000 0.000
Mn2 Mn 0.000 0.246 0.500
Mn3 Mn 0.000 0.495 0.000
Mn4 Mn 0.000 0.749 0.500
Mn5 Mn 0.244 0.635 0.024
Mn6 Mn 0.244 0.897 0.483
O1 O 0.084 0.626 0.769
O2 O 0.084 0.881 0.730
O3 O 0.086 0.128 0.763
O4 O 0.088 0.379 0.731
O5 O 0.164 0.509 0.242
O6 O 0.164 0.760 0.274
O7 O 0.167 0.015 0.228
F1 F 0.176 0.263 0.236



No. 3
# Mn3OF5 | the Alexandria database | meta-GGA SCAN | single point on PBEsol structure
# E_form (uncorrected)   -2.715 eV/atom
# Total moment   14.0 μB per formula unit
# Calculated volume   12.10 Å³ per atom
data_Mn3OF5
_chemical_formula_sum 'Mn6 O2 F10'
_space_group_name_H-M_alt 'P -1'
_space_group_IT_number 2
_cell_length_a 4.772
_cell_length_b 5.764
_cell_length_c 7.935
_cell_angle_alpha 86.97
_cell_angle_beta 88.27
_cell_angle_gamma 88.44
loop_
_space_group_symop_operation_xyz
'x,y,z'
'-x,-y,-z'
loop_
_atom_site_label
_atom_site_type_symbol
_atom_site_fract_x
_atom_site_fract_y
_atom_site_fract_z
Mn1 Mn 0.000 0.000 0.000
Mn2 Mn 0.023 0.310 0.664
Mn3 Mn 0.477 0.846 0.679
Mn4 Mn 0.500 0.500 0.000
O1 O 0.185 0.033 0.783
F1 F 0.201 0.702 0.099
F2 F 0.203 0.378 0.421
F3 F 0.297 0.201 0.099
F4 F 0.301 0.533 0.765
F5 F 0.302 0.872 0.437



No. 4
# Mn2O3F | the Alexandria database | meta-GGA SCAN | single point on PBEsol structure
# E_form (uncorrected)   -2.267 eV/atom
# Total moment   7.0 μB per formula unit
# Calculated volume   9.89 Å³ per atom
data_Mn2O3F
_chemical_formula_sum 'Mn16 O24 F8'
_space_group_name_H-M_alt 'C 1 2 1'
_space_group_IT_number 5
_cell_length_a 8.526
_cell_length_b 6.527
_cell_length_c 8.543
_cell_angle_alpha 90.00
_cell_angle_beta 93.12
_cell_angle_gamma 90.00
loop_
_space_group_symop_operation_xyz
'x,y,z'
'-x,y,-z'
'x+1/2,y+1/2,z'
'-x+1/2,y+1/2,-z'
loop_
_atom_site_label
_atom_site_type_symbol
_atom_site_fract_x
_atom_site_fract_y
_atom_site_fract_z
Mn1 Mn 0.000 0.000 0.000
Mn2 Mn 0.000 0.454 0.500
Mn3 Mn 0.125 0.470 0.125
Mn4 Mn 0.125 0.989 0.626
Mn5 Mn 0.250 0.450 0.749
O1 O 0.000 0.165 0.500
O2 O 0.000 0.285 0.000
O3 O 0.027 0.973 0.222
O4 O 0.028 0.465 0.721
O5 O 0.223 0.462 0.526
O6 O 0.223 0.976 0.029
O7 O 0.248 0.661 0.250
F1 F 0.000 0.692 0.000
F2 F 0.000 0.774 0.500
F3 F 0.242 0.760 0.744



No. 5
# Mn6O7F5 | the Alexandria database | meta-GGA SCAN | single point on PBEsol structure
# E_form (uncorrected)   -2.390 eV/atom
# Total moment   6.9 μB per formula unit
# Calculated volume   10.48 Å³ per atom
data_Mn6O7F5
_chemical_formula_sum 'Mn12 O14 F10'
_space_group_name_H-M_alt 'A m m 2'
_space_group_IT_number 38
_cell_length_a 8.713
_cell_length_b 6.129
_cell_length_c 7.063
_cell_angle_alpha 90.00
_cell_angle_beta 90.00
_cell_angle_gamma 90.00
loop_
_space_group_symop_operation_xyz
'x,y,z'
'-x,-y,z'
'-x,y,z'
'x,-y,z'
'x,y+1/2,z+1/2'
'-x,-y+1/2,z+1/2'
'-x,y+1/2,z+1/2'
'x,-y+1/2,z+1/2'
loop_
_atom_site_label
_atom_site_type_symbol
_atom_site_fract_x
_atom_site_fract_y
_atom_site_fract_z
Mn1 Mn 0.000 0.000 0.000
Mn2 Mn 0.159 0.000 0.459
Mn3 Mn 0.333 0.000 0.965
Mn4 Mn 0.500 0.000 0.468
O1 O 0.000 0.000 0.291
O2 O 0.164 0.197 0.973
O3 O 0.500 0.198 0.964
F1 F 0.000 0.000 0.659
F2 F 0.321 0.000 0.654
F3 F 0.324 0.000 0.274



No. 6
# Mn2O3F | the Alexandria database | meta-GGA SCAN | single point on PBEsol structure
# E_form (uncorrected)   -2.258 eV/atom
# Total moment   7.0 μB per formula unit
# Calculated volume   9.89 Å³ per atom
data_Mn2O3F
_chemical_formula_sum 'Mn16 O24 F8'
_space_group_name_H-M_alt 'C 1 2/m 1'
_space_group_IT_number 12
_cell_length_a 8.676
_cell_length_b 6.352
_cell_length_c 8.636
_cell_angle_alpha 90.00
_cell_angle_beta 94.12
_cell_angle_gamma 90.00
loop_
_space_group_symop_operation_xyz
'x,y,z'
'-x,-y,-z'
'-x,y,-z'
'x,-y,z'
'x+1/2,y+1/2,z'
'-x+1/2,-y+1/2,-z'
'-x+1/2,y+1/2,-z'
'x+1/2,-y+1/2,z'
loop_
_atom_site_label
_atom_site_type_symbol
_atom_site_fract_x
_atom_site_fract_y
_atom_site_fract_z
Mn1 Mn 0.000 0.000 0.000
Mn2 Mn 0.000 0.500 0.500
Mn3 Mn 0.106 0.000 0.632
Mn4 Mn 0.139 0.500 0.142
Mn5 Mn 0.242 0.500 0.763
O1 O 0.000 0.195 0.500
O2 O 0.025 0.500 0.721
O3 O 0.036 0.000 0.219
O4 O 0.223 0.000 0.020
O5 O 0.242 0.195 0.745
F1 F 0.000 0.314 0.000
F2 F 0.236 0.500 0.528



Number 6 is which compound?
Mn2O3F



Copy entry 1 word for word.
# Mn6OF11 | the Alexandria database | meta-GGA SCAN | single point on PBEsol structure
# E_form (uncorrected)   -2.793 eV/atom
# Total moment   29.0 μB per formula unit
# Calculated volume   12.29 Å³ per atom
data_Mn6OF11
_chemical_formula_sum 'Mn12 O2 F22'
_space_group_name_H-M_alt 'P 1 21 1'
_space_group_IT_number 4
_cell_length_a 4.855
_cell_length_b 15.861
_cell_length_c 5.747
_cell_angle_alpha 90.00
_cell_angle_beta 91.07
_cell_angle_gamma 90.00
loop_
_space_group_symop_operation_xyz
'x,y,z'
'-x,y+1/2,-z'
loop_
_atom_site_label
_atom_site_type_symbol
_atom_site_fract_x
_atom_site_fract_y
_atom_site_fract_z
Mn1 Mn 0.224 0.000 0.056
Mn2 Mn 0.232 0.161 0.418
Mn3 Mn 0.233 0.654 0.085
Mn4 Mn 0.248 0.496 0.406
Mn5 Mn 0.258 0.831 0.416
Mn6 Mn 0.260 0.326 0.077
O1 O 0.045 0.545 0.165
F1 F 0.002 0.551 0.659
F2 F 0.006 0.221 0.147
F3 F 0.020 0.722 0.354
F4 F 0.027 0.885 0.135
F5 F 0.040 0.385 0.373
F6 F 0.452 0.107 0.125
F7 F 0.475 0.765 0.145
F8 F 0.479 0.269 0.360
F9 F 0.488 0.600 0.377
F10 F 0.488 0.945 0.355
F11 F 0.497 0.933 0.848



calculated volume of number 1 (Mn6OF11)?
12.29 Å³ per atom